Crystalline GaH2Os at its relaxed geometry. Source: the Alexandria database, functional PBE.

The density is 11.2 g/cm3. The energy above the most stable polymorph in this dataset is 0 kJ/mol of formula units. For the total energy, the calculation gives -4.936 eV/atom. For the density of states at the Fermi level, the calculation gives 0.936 states/eV/atom. The value obtained for the total magnetization is 0.0 μB per cell. For the volume, the calculation gives 77.87 Å³/cell.

Cell: 5.5553 5.5553 4.6688 Å, 53.49 53.49 90.00°
Atoms (fractional coordinates):
H 0.7137 0.1250 0.2500
H 0.0363 0.6250 0.2500
H 0.3750 0.2863 0.7500
H 0.8750 0.9637 0.7500
Os 0.0000 0.0000 0.0000
Os 0.7500 0.2500 0.5000
Ga 0.5000 0.5000 0.0000
Ga 0.2500 0.7500 0.5000